AcYSO2 | PBE | optimized geometry

Cell lengths 4.170, 4.170, 6.264 Å; angles 90.00, 90.00, 90.00 degrees
Space group P4mm (No. 99)
Inequivalent atoms, fractional coordinates:
Ac (0.000, 0.000, 0.000)
Y (0.500, 0.500, 0.359)
S (0.500, 0.500, 0.787)
O (0.000, 0.500, 0.230)

Size of the total moment: 0.00 μB/atom
Density of states at the Fermi level: 0.00 states/eV per atom
Formation energy from raw total energies: -3107 meV per atom

---

CaPr2HfO6 | PBE | optimized geometry

Cell lengths 5.8995, 5.8995, 14.9846 Å; angles 90.00, 90.00, 120.00 degrees
Space group R3 (No. 146, hexagonal axes)
Inequivalent atoms, fractional coordinates:
Ca (0.0000, 0.0000, 0.0000)
Pr (0.0000, 0.0000, 0.2737)
Pr (0.0000, 0.0000, 0.7743)
Hf (0.0000, 0.0000, 0.4946)
O (0.9997, 0.3890, 0.2270)
O (0.0718, 0.6909, 0.0674)

Size of the total moment: 0.00 μB/atom
Density of states at the Fermi level: 0.00 states/eV per atom
Formation energy from raw total energies: -3332 meV per atom

---

Ca2DyHg | PBE | optimized geometry

Cell lengths 3.6513, 3.6513, 35.1727 Å; angles 90.00, 90.00, 120.00 degrees
Space group R-3m (No. 166, hexagonal axes)
Inequivalent atoms, fractional coordinates:
Ca (0.0000, 0.0000, 0.0987)
Dy (0.0000, 0.0000, 0.0000)
Hg (0.0000, 0.0000, 0.5000)

Size of the total moment: 0.14 μB/atom
Formation energy: 0.04 eV/atom
Density of states at the Fermi level: 1.43 states/eV per atom

---

GaCuSbTe2 | PBE | optimized geometry

Cell lengths 5.383, 5.383, 4.917 Å; angles 90.00, 90.00, 90.00 degrees
Space group P4/mmm (No. 123)
Inequivalent atoms, fractional coordinates:
Ga (0.000, 0.000, 0.000)
Cu (0.500, 0.500, 0.500)
Sb (0.500, 0.500, 0.000)
Te (0.000, 0.500, 0.500)

Size of the total moment: 0.00 μB/atom
Density of states at the Fermi level: 0.54 states/eV per atom
Formation energy from raw total energies: 329 meV per atom

---

Cs4CaPb3F12 | PBE | optimized geometry

Cell lengths 9.643, 9.643, 9.643 Å; angles 90.00, 90.00, 90.00 degrees
Space group Im-3m (No. 229)
Inequivalent atoms, fractional coordinates:
Cs (0.250, 0.250, 0.250)
Ca (0.000, 0.000, 0.000)
Pb (0.000, 0.000, 0.500)
F (0.000, 0.000, 0.239)
F (0.000, 0.250, 0.500)

Size of the total moment: 0.00 μB/atom
Density of states at the Fermi level: 0.00 states/eV per atom
Formation energy from raw total energies: -2766 meV per atom

---

Li4TeMo | PBE | optimized geometry

Cell lengths 7.275, 7.275, 7.275 Å; angles 90.00, 90.00, 90.00 degrees
Space group F-43m (No. 216)
Inequivalent atoms, fractional coordinates:
Li (0.123, 0.123, 0.123)
Te (0.000, 0.000, 0.500)
Mo (0.250, 0.250, 0.750)

Size of the total moment: 0.43 μB/atom
Density of states at the Fermi level: 0.60 states/eV per atom
Formation energy from raw total energies: 287 meV per atom